No. 1
# La3CuPd2, optimized geometry, DFT PBE-GGA
data_La3CuPd2
_space_group_name_H-M_alt 'P 1'
_space_group_IT_number 1
_cell_length_a 4.1721
_cell_length_b 12.1642
_cell_length_c 12.3918
_cell_angle_alpha 90.00
_cell_angle_beta 90.00
_cell_angle_gamma 90.00
loop_
_space_group_symop_operation_xyz
'x,y,z'
loop_
_atom_site_label
_atom_site_type_symbol
_atom_site_fract_x
_atom_site_fract_y
_atom_site_fract_z
_atom_site_occupancy
Pd1 Pd 0.2500 0.4965 0.8171 1
Pd2 Pd 0.2500 0.6936 0.4896 1
Pd3 Pd 0.2500 0.0035 0.3171 1
Pd4 Pd 0.7500 0.5035 0.1829 1
Pd5 Pd 0.7500 0.1936 0.0104 1
Pd6 Pd 0.2500 0.8064 0.9896 1
Pd7 Pd 0.7500 0.3064 0.5104 1
Pd8 Pd 0.7500 0.9965 0.6829 1
Cu1 Cu 0.2500 0.1185 0.1240 1
Cu2 Cu 0.7500 0.8815 0.8760 1
Cu3 Cu 0.2500 0.3815 0.6240 1
Cu4 Cu 0.7500 0.6185 0.3760 1
La1 La 0.7500 0.9314 0.1217 1
La2 La 0.2500 0.8200 0.7123 1
La3 La 0.7500 0.1800 0.2877 1
La4 La 0.7500 0.5686 0.6217 1
La5 La 0.7500 0.3200 0.7877 1
La6 La 0.2500 0.3687 0.0592 1
La7 La 0.7500 0.6313 0.9408 1
La8 La 0.7500 0.8687 0.4408 1
La9 La 0.2500 0.0686 0.8783 1
La10 La 0.2500 0.4314 0.3783 1
La11 La 0.2500 0.6800 0.2123 1
La12 La 0.2500 0.1313 0.5592 1
# - crystal system = orthorhombic
# - DOS(E_F) (states/eV/f.u.) = 5.96
# - formation enthalpy at 0 K (eV/atom) = -0.58
# - calculated density (g cm⁻³) = 7.32
# - raw total energy (eV/atom) = -5.454

***

No. 2
# La4Te3Se, optimized geometry, DFT PBE-GGA
data_La4Te3Se
_space_group_name_H-M_alt 'P 1'
_space_group_IT_number 1
_cell_length_a 4.4988
_cell_length_b 4.4988
_cell_length_c 15.0829
_cell_angle_alpha 81.42
_cell_angle_beta 81.42
_cell_angle_gamma 60.00
loop_
_space_group_symop_operation_xyz
'x,y,z'
loop_
_atom_site_label
_atom_site_type_symbol
_atom_site_fract_x
_atom_site_fract_y
_atom_site_fract_z
_atom_site_occupancy
Se1 Se 0.0000 0.0000 0.0000 1
Te1 Te 0.7472 0.7472 0.7583 1
Te2 Te 0.5000 0.5000 0.5000 1
Te3 Te 0.2528 0.2528 0.2417 1
La1 La 0.6305 0.6305 0.1086 1
La2 La 0.3695 0.3695 0.8914 1
La3 La 0.8756 0.8756 0.3732 1
La4 La 0.1244 0.1244 0.6268 1
# - crystal system = trigonal
# - DOS(E_F) (states/eV/f.u.) = 4.88
# - offset from the most stable computed form (eV/atom) = 0.0000
# - uncorrected formation energy (eV/atom) = -1.6937
# - calculated density (g cm⁻³) = 6.49
# - raw total energy (eV/atom) = -5.771

***

No. 3
# Pm2RuF, optimized geometry, DFT PBE-GGA
data_Pm2RuF
_space_group_name_H-M_alt 'P 1'
_space_group_IT_number 1
_cell_length_a 3.9653
_cell_length_b 3.9653
_cell_length_c 7.0119
_cell_angle_alpha 73.58
_cell_angle_beta 73.58
_cell_angle_gamma 60.00
loop_
_space_group_symop_operation_xyz
'x,y,z'
loop_
_atom_site_label
_atom_site_type_symbol
_atom_site_fract_x
_atom_site_fract_y
_atom_site_fract_z
_atom_site_occupancy
Ru1 Ru 0.0000 0.0000 0.0000 1
F1 F 0.5000 0.5000 0.5000 1
Pm1 Pm 0.2528 0.2528 0.2415 1
Pm2 Pm 0.7472 0.7472 0.7585 1
# - crystal system = trigonal
# - DOS(E_F) (states/eV/f.u.) = 2.98
# - offset from the most stable computed form (eV/atom) = 0.0000
# - uncorrected formation energy (eV/atom) = -1.2325
# - calculated density (g cm⁻³) = 7.55
# - raw total energy (eV/atom) = -6.395

***

No. 4
# KH7C4O10, optimized geometry, DFT PBE-GGA
data_KH7C4O10
_space_group_name_H-M_alt 'P 1'
_space_group_IT_number 1
_cell_length_a 6.8105
_cell_length_b 7.1009
_cell_length_c 10.7296
_cell_angle_alpha 90.37
_cell_angle_beta 104.30
_cell_angle_gamma 104.35
loop_
_space_group_symop_operation_xyz
'x,y,z'
loop_
_atom_site_label
_atom_site_type_symbol
_atom_site_fract_x
_atom_site_fract_y
_atom_site_fract_z
_atom_site_occupancy
H1 H 0.1446 0.8092 0.0594 1
H2 H 0.7753 0.8261 0.3990 1
H3 H 0.3665 0.0550 0.7507 1
H4 H 0.8554 0.1908 0.9406 1
H5 H 0.1289 0.6640 0.2215 1
H6 H 0.0892 0.2801 0.9305 1
H7 H 0.7543 0.0395 0.4301 1
H8 H 0.6335 0.9450 0.2493 1
H9 H 0.9108 0.7199 0.0695 1
H10 H 0.2457 0.9605 0.5699 1
H11 H 0.8711 0.3360 0.7785 1
H12 H 0.6285 0.4489 0.2497 1
H13 H 0.2247 0.1739 0.6010 1
H14 H 0.3715 0.5511 0.7503 1
C1 C 0.4157 0.9832 0.9348 1
C2 C 0.4834 0.4552 0.0635 1
C3 C 0.2814 0.5507 0.5307 1
C4 C 0.7186 0.4493 0.4693 1
C5 C 0.7646 0.3248 0.5874 1
C6 C 0.5166 0.5448 0.9365 1
C7 C 0.5843 0.0168 0.0652 1
C8 C 0.2354 0.6752 0.4126 1
O1 O 0.7485 0.1480 0.5716 1
O2 O 0.6269 0.3509 0.3620 1
O3 O 0.0568 0.7752 0.1221 1
O4 O 0.3545 0.4819 0.8389 1
O5 O 0.2515 0.8520 0.4284 1
O6 O 0.6827 0.6645 0.9343 1
O7 O 0.3731 0.6491 0.6380 1
O8 O 0.6455 0.5181 0.1611 1
O9 O 0.5126 0.9294 0.1571 1
O10 O 0.2347 0.8821 0.9246 1
O11 O 0.7790 0.9563 0.3629 1
O12 O 0.4874 0.0706 0.8429 1
O13 O 0.7653 0.1179 0.0754 1
O14 O 0.7788 0.6315 0.4902 1
O15 O 0.2212 0.3685 0.5098 1
O16 O 0.1771 0.5760 0.3008 1
O17 O 0.3173 0.3355 0.0657 1
O18 O 0.8229 0.4240 0.6992 1
O19 O 0.2210 0.0437 0.6371 1
O20 O 0.9432 0.2248 0.8779 1
K1 K 0.8498 0.8451 0.7302 1
K2 K 0.1502 0.1549 0.2698 1
# - crystal system = triclinic
# - DOS(E_F) (states/eV/f.u.) = 0.00
# - calculated density (g cm⁻³) = 1.74
# - raw total energy (eV/atom) = -6.206

***

No. 5
# Rb5AgAuO2, optimized geometry, DFT PBE-GGA
data_Rb5AgAuO2
_space_group_name_H-M_alt 'P 1'
_space_group_IT_number 1
_cell_length_a 5.7420
_cell_length_b 5.7420
_cell_length_c 9.6855
_cell_angle_alpha 90.00
_cell_angle_beta 90.00
_cell_angle_gamma 90.00
loop_
_space_group_symop_operation_xyz
'x,y,z'
loop_
_atom_site_label
_atom_site_type_symbol
_atom_site_fract_x
_atom_site_fract_y
_atom_site_fract_z
_atom_site_occupancy
Rb1 Rb 0.0000 0.0000 0.5000 1
Rb2 Rb 0.0000 0.5000 0.7741 1
Rb3 Rb 0.5000 0.0000 0.7741 1
Rb4 Rb 0.0000 0.5000 0.2259 1
Rb5 Rb 0.5000 0.0000 0.2259 1
O1 O 0.0000 0.0000 0.2135 1
O2 O 0.0000 0.0000 0.7865 1
Au1 Au 0.5000 0.5000 0.5000 1
Ag1 Ag 0.0000 0.0000 0.0000 1
# - crystal system = tetragonal
# - DOS(E_F) (states/eV/f.u.) = 3.93
# - uncorrected formation energy (eV/atom) = -0.6674
# - calculated density (g cm⁻³) = 3.97
# - raw total energy (eV/atom) = -2.988

***

No. 6
# ThSi2Ni5, optimized geometry, DFT PBE-GGA
data_ThSi2Ni5
_space_group_name_H-M_alt 'P 1'
_space_group_IT_number 1
_cell_length_a 3.7213
_cell_length_b 5.9416
_cell_length_c 5.9416
_cell_angle_alpha 66.70
_cell_angle_beta 71.75
_cell_angle_gamma 71.75
loop_
_space_group_symop_operation_xyz
'x,y,z'
loop_
_atom_site_label
_atom_site_type_symbol
_atom_site_fract_x
_atom_site_fract_y
_atom_site_fract_z
_atom_site_occupancy
Th1 Th 0.0000 0.0000 0.0000 1
Ni1 Ni 0.3518 0.8369 0.4596 1
Ni2 Ni 0.3518 0.4596 0.8369 1
Ni3 Ni 0.6482 0.5404 0.1631 1
Ni4 Ni 0.6482 0.1631 0.5404 1
Ni5 Ni 0.0000 0.5000 0.5000 1
Si1 Si 0.7593 0.7407 0.7407 1
Si2 Si 0.2407 0.2593 0.2593 1
# - crystal system = orthorhombic
# - DOS(E_F) (states/eV/f.u.) = 6.50
# - uncorrected formation energy (eV/atom) = -0.5962
# - calculated density (g cm⁻³) = 8.63
# - raw total energy (eV/atom) = -6.493